First-principles (PBE) data for a relaxed ScFe6Sn6 crystal, as listed in Alexandria via LeMat-Bulk.

abc: 5.3654 5.3654 8.9035
angles: 90.00 90.00 120.00
Last column: nearest neighbours and their distance in Å.
Fractional coordinates of all 13 atoms:
Sc: 0.0000 0.0000 0.0000  8 Sn 2.96-3.10
Fe: 0.5000 0.5000 0.7536  4 Fe 2.68, 6 Sn 2.69-2.79
Fe: 0.5000 0.0000 0.7536  4 Fe 2.68, 6 Sn 2.69-2.79
Fe: 0.0000 0.5000 0.7536  4 Fe 2.68, 6 Sn 2.69-2.79
Fe: 0.5000 0.5000 0.2464  4 Fe 2.68, 6 Sn 2.69-2.79
Fe: 0.5000 0.0000 0.2464  4 Fe 2.68, 6 Sn 2.69-2.79
Fe: 0.0000 0.5000 0.2464  4 Fe 2.68, 6 Sn 2.69-2.79
Sn: 0.6667 0.3333 0.0000  6 Fe 2.69
Sn: 0.3333 0.6667 0.0000  6 Fe 2.69
Sn: 0.6667 0.3333 0.5000  6 Fe 2.74
Sn: 0.3333 0.6667 0.5000  6 Fe 2.74
Sn: 0.0000 0.0000 0.6679  6 Fe 2.79, 1 Sc 2.96, 1 Sn 2.99
Sn: 0.0000 0.0000 0.3321  6 Fe 2.79, 1 Sc 2.96, 1 Sn 2.99

Results
Electronic total energy   -6.338 eV/atom
M_tot   12.75 μB/f.u.
Formation enthalpy at 0 K   -0.10 eV/atom

First-principles (PBE) data for a relaxed TcRu2Br crystal, as listed in Alexandria via LeMat-Bulk.

abc: 5.2572 5.2572 5.2572
angles: 147.52 129.35 61.47
Last column: nearest neighbours and their distance in Å.
Fractional coordinates of all 4 atoms:
Ru: 0.9828 0.9828 0.0000  2 Br 2.57, 4 Ru 2.70, 2 Tc 2.83
Ru: 0.5172 0.5172 0.0000  2 Br 2.57, 4 Ru 2.70, 2 Tc 2.83
Tc: 0.2500 0.7500 0.5000  4 Br 2.69, 4 Ru 2.83, 2 Tc 2.94
Br: 0.7500 0.2500 0.5000  4 Ru 2.57, 4 Tc 2.69

Results
Electronic total energy   -6.848 eV/atom
M_tot   0.00 μB/f.u.
Uncorrected formation energy   0.799 eV per atom

First-principles (PBE) data for a relaxed HfGeBPd2 crystal, as listed in Alexandria via LeMat-Bulk.

abc: 4.5156 5.0833 4.5156
angles: 90.00 90.00 90.00
Last column: nearest neighbours and their distance in Å.
Fractional coordinates of all 5 atoms:
Ge: 0.0000 0.0000 0.0000  4 Pd 2.26
B: 0.5000 0.5000 0.5000  4 Hf 3.19, 8 Pd 3.40
Hf: 0.0000 0.5000 0.0000  2 Ge 2.54
Pd: 0.0000 0.0000 0.5000  2 Ge 2.26
Pd: 0.5000 0.0000 0.0000  2 Ge 2.26

Results
Electronic total energy   -5.259 eV/atom
M_tot   0.00 μB/f.u.
Formation enthalpy at 0 K   1.07 eV/atom

First-principles (PBE) data for a relaxed Rb2SiHgBr6 crystal, as listed in Alexandria via LeMat-Bulk.

abc: 8.0199 8.0199 8.0240
angles: 60.02 60.02 90.00
Last column: nearest neighbours and their distance in Å.
Fractional coordinates of all 10 atoms:
Si: 0.5000 0.5000 0.0000  6 Br 2.45
Br: 0.2839 0.2839 0.4321  1 Si 2.45
Br: 0.7161 0.7161 0.5679  1 Si 2.45
Br: 0.2838 0.2838 0.0000  1 Si 2.45
Br: 0.7162 0.7162 0.0000  1 Si 2.45
Br: 0.7162 0.2838 0.0000  1 Si 2.45
Br: 0.2838 0.7162 0.0000  1 Si 2.45
Hg: 0.0000 0.0000 0.0000  6 Br 3.22
Rb: 0.7500 0.2500 0.5000  12 Br 4.03
Rb: 0.2500 0.7500 0.5000  12 Br 4.03

Results
Electronic total energy   -2.750 eV/atom
M_tot   0.00 μB/f.u.
Uncorrected formation energy   -0.980 eV per atom

First-principles (PBE) data for a relaxed Sm2YIn2Hg2 crystal, as listed in Alexandria via LeMat-Bulk.

abc: 4.9477 4.9477 9.5013
angles: 74.91 74.91 60.00
Last column: nearest neighbours and their distance in Å.
Fractional coordinates of all 7 atoms:
Sm: 0.1296 0.1296 0.6113  3 Hg 3.11, 3 In 3.38
Sm: 0.8704 0.8704 0.3887  3 Hg 3.11, 3 In 3.38
Y: 0.0000 0.0000 0.0000  6 In 3.33, 2 Sm 3.52, 6 Hg 3.66
In: 0.7297 0.7297 0.8108  3 Hg 2.91
In: 0.2703 0.2703 0.1892  3 Hg 2.91
Hg: 0.5826 0.5826 0.2522  3 In 2.91, 3 Sm 3.11
Hg: 0.4174 0.4174 0.7478  3 In 2.91, 3 Sm 3.11

Results
Electronic total energy   -3.419 eV/atom
M_tot   0.00 μB/f.u.
Formation enthalpy at 0 K   -0.28 eV/atom

First-principles (PBE) data for a relaxed MgTc2Pt crystal, as listed in Alexandria via LeMat-Bulk.

abc: 4.7172 4.7172 5.0311
angles: 83.06 83.06 33.69
Last column: nearest neighbours and their distance in Å.
Fractional coordinates of all 4 atoms:
Mg: 0.5081 0.5081 0.4729  3 Pt 2.58-2.70, 2 Mg 2.73, 3 Tc 2.81-2.82
Pt: 0.2561 0.2561 0.2799  3 Mg 2.58-2.70, 2 Pt 2.73, 6 Tc 2.81-2.87
Tc: 0.9876 0.9876 0.9652  3 Tc 2.45-2.73
Tc: 0.7482 0.7482 0.7820  3 Tc 2.45-2.73

Results
Electronic total energy   -7.173 eV/atom
M_tot   0.00 μB/f.u.
Formation enthalpy at 0 K   -0.08 eV/atom

First-principles (PBE) data for a relaxed Rb2RhCl4 crystal, as listed in Alexandria via LeMat-Bulk.

abc: 6.8452 6.8452 7.3986
angles: 122.66 122.66 80.42
Last column: nearest neighbours and their distance in Å.
Fractional coordinates of all 7 atoms:
Rb: 0.2500 0.7500 0.5000  8 Cl 3.43-3.44
Rb: 0.7500 0.2500 0.5000  8 Cl 3.43-3.44
Rh: 0.0000 0.0000 0.0000  4 Cl 2.33-2.34
Cl: 0.7767 0.7768 0.0000  1 Rh 2.33
Cl: 0.2232 0.2233 0.0000  1 Rh 2.33
Cl: 0.2230 0.2230 0.4461  1 Rh 2.34
Cl: 0.7770 0.7770 0.5539  1 Rh 2.34

Results
Electronic total energy   -3.641 eV/atom
M_tot   1.00 μB/f.u.
Uncorrected formation energy   -1.259 eV per atom

First-principles (PBE) data for a relaxed TbNd3Sb2 crystal, as listed in Alexandria via LeMat-Bulk.

abc: 4.5791 4.5791 8.8024
angles: 90.00 90.00 90.00
Last column: nearest neighbours and their distance in Å.
Fractional coordinates of all 6 atoms:
Tb: 0.5000 0.5000 0.0000  4 Nd 3.24, 4 Sb 3.34
Nd: 0.5000 0.0000 0.3544  5 Sb 3.25-3.31
Nd: 0.0000 0.5000 0.6456  5 Sb 3.25-3.31
Nd: 0.0000 0.0000 0.0000  4 Tb 3.24, 4 Sb 3.34
Sb: 0.5000 0.0000 0.7236  7 Nd 3.25-3.34, 2 Tb 3.34
Sb: 0.0000 0.5000 0.2764  7 Nd 3.25-3.34, 2 Tb 3.34

Results
Electronic total energy   -5.358 eV/atom
M_tot   0.00 μB/f.u.
Uncorrected formation energy   -0.828 eV per atom

First-principles (PBE) data for a relaxed B2Cl2O crystal, as listed in Alexandria via LeMat-Bulk.

abc: 7.7725 7.7725 2.8577
angles: 90.00 90.00 90.00
Last column: nearest neighbours and their distance in Å.
Fractional coordinates of all 10 atoms:
B: 0.2417 0.7417 0.5000  2 Cl 1.88
B: 0.7417 0.7583 0.5000  2 Cl 1.88
B: 0.7583 0.2583 0.5000  2 Cl 1.88
B: 0.2583 0.2417 0.5000  2 Cl 1.88
O: 0.0000 0.0000 0.0000  2 O 2.86, 4 Cl 2.97, 8 B 3.10
O: 0.5000 0.5000 0.0000  2 O 2.86, 4 Cl 2.97, 8 B 3.10
Cl: 0.3535 0.8535 0.0000  2 B 1.88
Cl: 0.8535 0.6465 0.0000  2 B 1.88
Cl: 0.6465 0.1465 0.0000  2 B 1.88
Cl: 0.1465 0.3535 0.0000  2 B 1.88

Results
Electronic total energy   -2.924 eV/atom
M_tot   2.00 μB/f.u.
Uncorrected formation energy   1.477 eV per atom

First-principles (PBE) data for a relaxed YLuIn crystal, as listed in Alexandria via LeMat-Bulk.

abc: 3.5098 3.5098 7.2287
angles: 104.05 104.05 90.00
Last column: nearest neighbours and their distance in Å.
Fractional coordinates of all 3 atoms:
Y: 0.2923 0.2923 0.5846  4 In 3.30, 4 Y 3.51, 4 Lu 3.55
Lu: 0.6058 0.6058 0.2115  4 In 3.24, 4 Lu 3.51, 4 Y 3.55
In: 0.9520 0.9520 0.9039  4 Lu 3.24, 4 Y 3.30, 4 In 3.51

Results
Electronic total energy   -4.894 eV/atom
M_tot   0.00 μB/f.u.
Formation enthalpy at 0 K   -0.32 eV/atom

First-principles (PBE) data for a relaxed Dy7Ho crystal, as listed in Alexandria via LeMat-Bulk.

abc: 7.0575 7.0575 7.0575
angles: 60.00 60.00 60.00
Last column: nearest neighbours and their distance in Å.
Fractional coordinates of all 8 atoms:
Dy: 0.5000 0.5000 0.0000  2 Ho 3.53, 10 Dy 3.53
Dy: 0.5000 0.0000 0.5000  10 Dy 3.53, 2 Ho 3.53
Dy: 0.0000 0.5000 0.5000  10 Dy 3.53, 2 Ho 3.53
Dy: 0.5000 0.0000 0.0000  10 Dy 3.53, 2 Ho 3.53
Dy: 0.0000 0.5000 0.0000  10 Dy 3.53, 2 Ho 3.53
Dy: 0.0000 0.0000 0.5000  10 Dy 3.53, 2 Ho 3.53
Dy: 0.5000 0.5000 0.5000  12 Dy 3.53
Ho: 0.0000 0.0000 0.0000  12 Dy 3.53

Results
Electronic total energy   -4.581 eV/atom
M_tot   0.00 μB/f.u.
Formation enthalpy at 0 K   0.02 eV/atom

Look up the electronic total energy of the ninth one.
-2.924 eV/atom